Entry 1:
## BaCr4Cd (PBE-GGA)

Data for a relaxed BaCr4Cd crystal.

Lattice parameters (Å, degrees): 5.469 5.469 5.469 60.00 60.00 60.00
Each line ends with the local moment (μB).
Fractional positions:
1 Ba 0.750 0.750 0.750  0.03
2 Cr 0.940 0.353 0.353  0.12
3 Cr 0.353 0.353 0.940  0.12
4 Cr 0.353 0.940 0.353  0.12
5 Cr 0.353 0.353 0.353  0.12
6 Cd 0.000 0.000 0.000  0.00

ΔE_f = 1.0130 eV/atom
SG = F-43m
N(E_F) = 8.46 states/eV/cell

Entry 2:
## RbPa4Cu3O12 (PBE-GGA)

Data for a relaxed RbPa4Cu3O12 crystal.

Lattice parameters (Å, degrees): 7.175 7.175 7.175 109.47 109.47 109.47
Each line ends with the local moment (μB).
Fractional positions:
1 Rb 0.000 0.000 0.000  0.00
2 Pa 0.500 0.000 0.000  0.00
3 Pa 0.500 0.500 0.500  0.00
4 Pa 0.000 0.500 0.000  0.00
5 Pa 0.000 0.000 0.500  0.00
6 Cu 0.000 0.500 0.500  0.06
7 Cu 0.500 0.500 0.000  0.06
8 Cu 0.500 0.000 0.500  0.06
9 O 0.307 0.823 0.130  0.00
10 O 0.693 0.177 0.870  0.00
11 O 0.693 0.823 0.516  0.00
12 O 0.870 0.693 0.177  0.00
13 O 0.823 0.130 0.307  0.00
14 O 0.177 0.484 0.307  0.00
15 O 0.484 0.307 0.177  0.00
16 O 0.177 0.870 0.693  0.00
17 O 0.307 0.177 0.484  0.00
18 O 0.130 0.307 0.823  0.00
19 O 0.823 0.516 0.693  0.00
20 O 0.516 0.693 0.823  0.00

SG = Im-3
formation energy from raw total energies = -2626 meV/atom

Entry 3:
## Pm5Rh (PBE-GGA)

Data for a relaxed Pm5Rh crystal.

Lattice parameters (Å, degrees): 5.760 3.787 8.615 102.70 90.00 90.00
Fractional positions:
1 Rh 0.000 0.000 0.000
2 Pm 0.500 0.832 0.664
3 Pm 0.000 0.629 0.257
4 Pm 0.500 0.500 0.000
5 Pm 0.000 0.371 0.743
6 Pm 0.500 0.168 0.336

ΔE_f = -0.0996 eV/atom
SG = Cmmm
N(E_F) = 8.69 states/eV/cell